Entry 1:
Density functional theory data (GGA-PBEsol) for a relaxed BeAlCr2 crystal.

Properties
DFT formation energy = 0.25 eV/atom
E_tot = -0.2532 Ha/atom
Fermi-level density of states = 0.922 states/eV/atom
Density = 4.9 g/cm³

```
4
Lattice="4.049 0.000 0.000 0.000 4.049 0.000 0.000 0.000 2.914" Properties=species:S:1:pos:R:3 pbc="T T T"
Be 0.000 0.000 0.000
Al 2.024 2.024 0.000
Cr 0.000 2.024 1.457
Cr 2.024 0.000 1.457
```

Entry 2:
Density functional theory data (GGA-PBEsol) for a relaxed BeAl2Cr crystal.

Properties
DFT formation energy = -0.05 eV/atom
E_tot = -0.2078 Ha/atom
Fermi-level density of states = 0.141 states/eV/atom
Density = 3.9 g/cm³

```
4
Lattice="-1.775 1.775 3.868 1.775 -1.775 3.868 1.775 1.775 -3.868" Properties=species:S:1:pos:R:3 pbc="T T T"
Be 0.000 0.000 0.000
Al 1.775 0.000 1.934
Al 0.000 1.775 1.934
Cr 0.000 0.000 3.868
```

Entry 3:
Density functional theory data (GGA-PBEsol) for a relaxed Be4AlCr crystal.

Properties
DFT formation energy = -0.08 eV/atom
E_tot = -0.1886 Ha/atom
Fermi-level density of states = 0.153 states/eV/atom
Density = 3.3 g/cm³

```
6
Lattice="0.000 3.065 3.065 3.065 0.000 3.065 3.065 3.065 0.000" Properties=species:S:1:pos:R:3 pbc="T T T"
Be 2.308 2.308 2.308
Be 3.821 3.821 2.308
Be 3.821 2.308 3.821
Be 2.308 3.821 3.821
Al 0.000 0.000 0.000
Cr 4.597 4.597 4.597
```

Entry 4:
Density functional theory data (GGA-PBEsol) for a relaxed Be3AlCr crystal.

Properties
DFT formation energy = 1.31 eV/atom
E_tot = -0.1454 Ha/atom
Fermi-level density of states = 0.343 states/eV/atom
Density = 2.4 g/cm³

```
5
Lattice="4.167 0.000 0.000 0.000 4.167 0.000 0.000 0.000 4.167" Properties=species:S:1:pos:R:3 pbc="T T T"
Be 0.000 0.000 2.084
Be 0.000 2.084 0.000
Be 2.084 0.000 0.000
Al 0.000 0.000 0.000
Cr 2.084 2.084 2.084
```